<P>
## Y2NiSb (PBE)

Data for a relaxed structure of Y2NiSb.

abc: 7.1371 7.1371 7.1371
angles: 34.48 34.48 34.48
Fractional coordinates of all 4 atoms:
Y 0.2401 0.2401 0.2401
Y 0.7599 0.7599 0.7599
Ni 0.5000 0.5000 0.5000
Sb 0.0000 0.0000 0.0000

- total magnetic moment (μB per formula unit) = 0.0
- N(E_F) (states/eV/f.u.) = 2.46
- space-group type = R-3m



<Q>
## Y2NiSb (PBE)

Data for a relaxed structure of Y2NiSb.

abc: 6.0518 6.0518 6.0518
angles: 139.13 139.13 59.18
Fractional coordinates of all 4 atoms:
Y 0.0000 0.0000 0.0000
Y 0.7500 0.2500 0.5000
Ni 0.2500 0.7500 0.5000
Sb 0.5000 0.5000 0.0000

- total magnetic moment (μB per formula unit) = 0.0
- N(E_F) (states/eV/f.u.) = 3.43
- space-group type = I-4m2



Best to worst by energy: <P>, <Q>.